(1)
Here is a relaxed structure of Er6GaAg5 from Alexandria via LeMat-Bulk. Energies are from PBE-GGA.

a b c (Å): 5.0730 7.2253 8.0204
angles (deg): 90.00 71.53 90.00
Last column: nearest neighbours and their distance in Å.
Fractional positions:
1 Ga 0.0000 0.0000 0.0000  8 Er 3.10-3.11
2 Ag 0.6679 0.5000 0.6642  8 Er 3.12-3.13
3 Ag 0.3343 0.0000 0.3315  8 Er 3.10-3.14
4 Ag 0.0000 0.5000 0.0000  8 Er 3.10-3.12
5 Ag 0.6657 0.0000 0.6685  8 Er 3.10-3.14
6 Ag 0.3321 0.5000 0.3358  8 Er 3.12-3.13
7 Er 0.8347 0.7505 0.3307  1 Ga 3.10, 7 Ag 3.10-3.14
8 Er 0.8346 0.2495 0.3307  1 Ga 3.10, 7 Ag 3.10-3.14
9 Er 0.5001 0.2490 0.0000  6 Ag 3.10-3.13, 2 Ga 3.11
10 Er 0.4999 0.7510 0.0000  6 Ag 3.10-3.13, 2 Ga 3.11
11 Er 0.1654 0.7505 0.6693  1 Ga 3.10, 7 Ag 3.10-3.14
12 Er 0.1653 0.2495 0.6693  1 Ga 3.10, 7 Ag 3.10-3.14

(2)
Here is a relaxed structure of Er2Ga3Ag2 from Alexandria via LeMat-Bulk. Energies are from PBE-GGA.

a b c (Å): 4.3819 5.7499 6.6646
angles (deg): 112.60 90.00 112.40
Last column: nearest neighbours and their distance in Å.
Fractional positions:
1 Er 0.8515 0.7030 0.2274  4 Ga 3.03-3.23, 4 Ag 3.10-3.13
2 Er 0.1485 0.2970 0.7726  4 Ga 3.03-3.23, 4 Ag 3.10-3.13
3 Ga 0.5000 0.0000 0.0000  2 Ga 2.62, 4 Ag 2.79
4 Ga 0.5948 0.1896 0.4318  2 Ga 2.53-2.62, 3 Ag 2.68-2.71
5 Ga 0.4052 0.8104 0.5682  2 Ga 2.53-2.62, 3 Ag 2.68-2.71
6 Ag 0.8507 0.7015 0.7570  5 Ga 2.68-2.79
7 Ag 0.1493 0.2985 0.2430  5 Ga 2.68-2.79

Properties
For the energy relative to the lowest polymorph listed for this composition, the calculation gives 2.9 kJ per mole of atoms.

(3)
Here is a relaxed structure of ErGa3Ag3 from Alexandria via LeMat-Bulk. Energies are from PBE-GGA.

a b c (Å): 7.0285 7.0285 7.0285
angles (deg): 90.00 90.00 90.00
Last column: nearest neighbours and their distance in Å.
Fractional positions:
1 Ga 0.0000 0.2500 0.5000  4 Ag 2.48
2 Ga 0.0000 0.7500 0.5000  4 Ag 2.48
3 Ga 0.5000 0.0000 0.7500  4 Ag 2.48
4 Ga 0.7500 0.5000 0.0000  4 Ag 2.48
5 Ga 0.5000 0.0000 0.2500  4 Ag 2.48
6 Ga 0.2500 0.5000 0.0000  4 Ag 2.48
7 Ag 0.2500 0.0000 0.5000  4 Ga 2.48
8 Ag 0.0000 0.5000 0.2500  4 Ga 2.48
9 Ag 0.5000 0.7500 0.0000  4 Ga 2.48
10 Ag 0.7500 0.0000 0.5000  4 Ga 2.48
11 Ag 0.0000 0.5000 0.7500  4 Ga 2.48
12 Ag 0.5000 0.2500 0.0000  4 Ga 2.48
13 Er 0.5000 0.5000 0.5000  12 Ga 3.93, 12 Ag 3.93
14 Er 0.0000 0.0000 0.0000  12 Ag 3.93, 12 Ga 3.93

Properties
For the energy relative to the lowest polymorph listed for this composition, the calculation gives 53.3 kJ per mole of atoms.

(4)
Here is a relaxed structure of Er5Ga2Ag from Alexandria via LeMat-Bulk. Energies are from PBE-GGA.

a b c (Å): 7.4655 7.4655 8.9988
angles (deg): 114.51 114.51 90.00
Last column: nearest neighbours and their distance in Å.
Fractional positions:
1 Er 0.5222 0.6853 0.7075  3 Ga 3.06, 2 Ag 3.16
2 Er 0.8147 0.9778 0.2925  3 Ga 3.06, 2 Ag 3.16
3 Er 0.0000 0.0000 0.0000  4 Ga 2.96
4 Er 0.5000 0.5000 0.0000  4 Ga 2.96
5 Er 0.1853 0.0222 0.7075  3 Ga 3.06, 2 Ag 3.16
6 Er 0.6853 0.1853 0.7075  3 Ga 3.06, 2 Ag 3.16
7 Er 0.0222 0.5222 0.7075  3 Ga 3.06, 2 Ag 3.16
8 Er 0.3147 0.8147 0.2925  3 Ga 3.06, 2 Ag 3.16
9 Er 0.9778 0.4778 0.2925  3 Ga 3.06, 2 Ag 3.16
10 Er 0.4778 0.3147 0.2925  3 Ga 3.06, 2 Ag 3.16
11 Ga 0.1229 0.3771 0.0000  1 Ga 2.60
12 Ga 0.6229 0.1229 0.0000  1 Ga 2.60
13 Ga 0.3771 0.8771 0.0000  1 Ga 2.60
14 Ga 0.8771 0.6229 0.0000  1 Ga 2.60
15 Ag 0.7500 0.7500 0.5000  8 Er 3.16
16 Ag 0.2500 0.2500 0.5000  8 Er 3.16

Properties
For the energy relative to the lowest polymorph listed for this composition, the calculation gives 0.0 kJ per mole of atoms.

(5)
Here is a relaxed structure of Er5Ga2Ag from Alexandria via LeMat-Bulk. Energies are from PBE-GGA.

a b c (Å): 6.7792 6.7805 6.4686
angles (deg): 122.84 122.81 87.97
Last column: nearest neighbours and their distance in Å.
Fractional positions:
1 Er 0.6790 0.1818 0.8597  2 Ag 3.11-3.34, 6 Er 3.13-3.42, 4 Ga 3.14-3.37
2 Er 0.2221 0.2224 0.9440  4 Ga 3.14-3.21, 6 Er 3.27-3.42, 2 Ag 3.27-3.28
3 Er 0.7208 0.7226 0.9439  4 Ga 3.13-3.22, 6 Er 3.26-3.42, 2 Ag 3.27-3.28
4 Er 0.2620 0.7662 0.0293  2 Ag 3.12-3.34, 6 Er 3.13-3.42, 4 Ga 3.14-3.37
5 Er 0.7687 0.6754 0.4441  2 Ga 3.00, 8 Er 3.13-3.32
6 Ga 0.2105 0.6999 0.4442  1 Ag 2.91, 7 Er 3.00-3.22
7 Ga 0.7441 0.2337 0.4440  1 Ag 2.91, 7 Er 3.00-3.22
8 Ag 0.1699 0.2750 0.4448  2 Ga 2.91, 2 Er 3.11-3.12

Properties
For the energy relative to the lowest polymorph listed for this composition, the calculation gives 12.2 kJ per mole of atoms.

(6)
Here is a relaxed structure of Er3Ga3Ag from Alexandria via LeMat-Bulk. Energies are from PBE-GGA.

a b c (Å): 4.3871 5.7945 13.4734
angles (deg): 84.20 80.63 67.76
Last column: nearest neighbours and their distance in Å.
Fractional positions:
1 Er 0.5320 0.3153 0.6207  6 Ga 3.04-3.15, 4 Ag 3.11-3.29
2 Er 0.4680 0.6847 0.3793  6 Ga 3.04-3.15, 4 Ag 3.11-3.29
3 Er 0.2646 0.2480 0.2227  6 Ga 3.01-3.19, 2 Ag 3.24
4 Er 0.7354 0.7520 0.7773  6 Ga 3.01-3.19, 2 Ag 3.24
5 Er 0.3950 0.2857 0.9244  7 Ga 3.04-3.19
6 Er 0.6050 0.7143 0.0756  7 Ga 3.04-3.19
7 Ga 0.8757 0.7018 0.5468  1 Ga 2.54, 2 Ag 2.59
8 Ga 0.1243 0.2982 0.4532  1 Ga 2.54, 2 Ag 2.59
9 Ga 0.1108 0.8531 0.9252  2 Ga 2.59-2.64
10 Ga 0.8892 0.1469 0.0748  2 Ga 2.59-2.64
11 Ga 0.9779 0.8167 0.2274  1 Ga 2.64, 1 Ag 2.71
12 Ga 0.0221 0.1833 0.7726  1 Ga 2.64, 1 Ag 2.71
13 Ag 0.7570 0.0922 0.3938  4 Ga 2.59-2.86
14 Ag 0.2430 0.9078 0.6062  4 Ga 2.59-2.86

(7)
Here is a relaxed structure of Er8Ga2Ag3 from Alexandria via LeMat-Bulk. Energies are from PBE-GGA.

a b c (Å): 5.0162 7.9815 9.2187
angles (deg): 115.65 88.38 90.00
Last column: nearest neighbours and their distance in Å.
Fractional positions:
1 Er 0.7575 0.5565 0.1129  1 Ga 2.88, 2 Ag 3.00, 1 Er 3.03
2 Er 0.2425 0.4435 0.8871  1 Ga 2.88, 2 Ag 3.00, 1 Er 3.03
3 Er 0.7708 0.1585 0.3169  3 Ag 3.00-3.17, 2 Ga 3.09-3.15
4 Er 0.2292 0.8415 0.6831  3 Ag 3.00-3.17, 2 Ga 3.09-3.15
5 Er 0.7386 0.5534 0.6906  3 Ga 3.02-3.28, 1 Ag 3.07, 2 Er 3.32-3.37
6 Er 0.7386 0.1372 0.6906  3 Ga 3.02-3.28, 1 Ag 3.07, 2 Er 3.32-3.37
7 Er 0.2614 0.8628 0.3094  3 Ga 3.02-3.28, 1 Ag 3.07, 2 Er 3.32-3.37
8 Er 0.2614 0.4466 0.3094  3 Ga 3.02-3.28, 1 Ag 3.07, 2 Er 3.32-3.37
9 Ga 0.2523 0.2699 0.5399  5 Er 2.88-3.15
10 Ga 0.7477 0.7301 0.4601  5 Er 2.88-3.15
11 Ag 0.5000 0.0000 0.0000  4 Ag 2.87, 2 Er 3.00
12 Ag 0.0000 0.1755 0.0000  3 Ag 2.80-2.87, 4 Er 3.00-3.07
13 Ag 0.0000 0.8245 0.0000  3 Ag 2.80-2.87, 4 Er 3.00-3.07

(8)
Here is a relaxed structure of ErGaAg2 from Alexandria via LeMat-Bulk. Energies are from PBE-GGA.

a b c (Å): 3.6569 3.6569 6.2063
angles (deg): 90.00 90.00 90.00
Last column: nearest neighbours and their distance in Å.
Fractional positions:
1 Ga 0.5000 0.5000 0.0000  8 Ag 2.99, 2 Er 3.10
2 Ag 0.0000 0.0000 0.7588  4 Ga 2.99, 2 Ag 2.99-3.21, 4 Er 3.04
3 Ag 0.0000 0.0000 0.2412  4 Ga 2.99, 2 Ag 2.99-3.21, 4 Er 3.04
4 Er 0.5000 0.5000 0.5000  8 Ag 3.04, 2 Ga 3.10

Properties
For the energy relative to the lowest polymorph listed for this composition, the calculation gives 13.2 kJ per mole of atoms.

(9)
Here is a relaxed structure of ErGaAg from Alexandria via LeMat-Bulk. Energies are from PBE-GGA.

a b c (Å): 4.1614 4.6707 6.7372
angles (deg): 90.00 107.99 90.00
Last column: nearest neighbours and their distance in Å.
Fractional positions:
1 Er 0.9088 0.2500 0.8176  4 Ag 2.98-3.03, 6 Ga 3.13-3.18, 2 Er 3.30
2 Er 0.0912 0.7500 0.1824  4 Ag 2.98-3.03, 6 Ga 3.13-3.18, 2 Er 3.30
3 Ga 0.5967 0.2500 0.1933  4 Ag 2.79-3.12
4 Ga 0.4033 0.7500 0.8067  4 Ag 2.79-3.12
5 Ag 0.2420 0.2500 0.4840  4 Ga 2.79-3.12, 4 Er 2.98-3.03
6 Ag 0.7580 0.7500 0.5160  4 Ga 2.79-3.12, 4 Er 2.98-3.03

(10)
Here is a relaxed structure of Er3Ga4Ag4 from Alexandria via LeMat-Bulk. Energies are from PBE-GGA.

a b c (Å): 4.5773 3.4736 14.2608
angles (deg): 97.00 99.23 90.00
Last column: nearest neighbours and their distance in Å.
Fractional positions:
1 Er 0.3583 0.8583 0.7166  6 Ga 3.12-3.18, 6 Ag 3.19, 2 Er 3.47
2 Er 0.6417 0.1417 0.2834  6 Ga 3.12-3.18, 6 Ag 3.19, 2 Er 3.47
3 Er 0.0000 0.0000 0.0000  4 Ag 3.11, 8 Ga 3.15, 2 Er 3.47
4 Ga 0.8143 0.3143 0.6286  5 Ag 2.61-2.77
5 Ga 0.4537 0.4537 0.9074  1 Ga 2.59, 2 Ag 2.62
6 Ga 0.5463 0.5463 0.0926  1 Ga 2.59, 2 Ag 2.62
7 Ga 0.1857 0.6857 0.3714  5 Ag 2.61-2.77
8 Ag 0.2627 0.2627 0.5254  4 Ga 2.70-2.77, 4 Ag 2.96
9 Ag 0.0922 0.5922 0.1845  3 Ga 2.61-2.62
10 Ag 0.9078 0.4078 0.8155  3 Ga 2.61-2.62
11 Ag 0.7373 0.7373 0.4746  4 Ga 2.70-2.77, 4 Ag 2.96

Number 1: formation enthalpy at 0 K -0.379 eV/atom. Number 2: formation enthalpy at 0 K -0.416 eV/atom. Number 3: formation enthalpy at 0 K 0.326 eV/atom. Number 4: formation enthalpy at 0 K -0.401 eV/atom. Number 5: formation enthalpy at 0 K -0.275 eV/atom. Number 6: formation enthalpy at 0 K -0.560 eV/atom. Number 7: formation enthalpy at 0 K -0.170 eV/atom. Number 8: formation enthalpy at 0 K -0.190 eV/atom. Number 9: formation enthalpy at 0 K -0.351 eV/atom. Number 10: formation enthalpy at 0 K -0.426 eV/atom.